Crystalline Dy2MoO6 at its relaxed geometry, computed with PBE with a Hubbard U.

Unit cell a=5.4600 b=5.6916 c=8.1917 alpha=90.00 beta=95.85 gamma=90.00
With the nearest neighbours (Å) after each atom.
Element x y z (fractional)
O: 0.6703 0.3973 0.2051  1 Mo 1.93
O: 0.2855 0.8199 0.4516  1 Mo 1.94
O: 0.8538 0.7356 0.6111  1 Mo 1.97
O: 0.2145 0.3199 0.0484  1 Mo 1.94
O: 0.1462 0.2644 0.3889  1 Mo 1.97
O: 0.6462 0.2356 0.8889  1 Mo 1.97
O: 0.1703 0.1027 0.7051  1 Mo 1.93
O: 0.3297 0.6027 0.7949  1 Mo 1.93
O: 0.8297 0.8973 0.2949  1 Mo 1.93
O: 0.7855 0.6801 0.9516  1 Mo 1.94
O: 0.7145 0.1801 0.5484  1 Mo 1.94
O: 0.3538 0.7644 0.1111  1 Mo 1.97
Mo: 0.5000 0.5000 0.0000  6 O 1.93-1.97
Mo: 0.0000 0.0000 0.5000  6 O 1.93-1.97
Dy: 0.9589 0.4239 0.7702  5 O 2.24-2.35
Dy: 0.0411 0.5761 0.2298  5 O 2.24-2.35
Dy: 0.5411 0.9239 0.7298  5 O 2.24-2.35
Dy: 0.4589 0.0761 0.2702  5 O 2.24-2.35

DFT total energy = -7.823 eV per atom
Size of the total moment = 0.0 μB/cell